(one)
DFT (PBE-GGA) results for a relaxed structure of SrDy2Pt.

Computed properties:
* size of the total moment: 0.00 μB/atom
* density of states at the Fermi level: 0.96 states/eV per atom

```
SrDy2Pt
1.0
2.081 1.201 9.610
-2.081 1.201 9.610
0.000 -2.402 9.610
Sr Dy Pt
1 2 1
direct
0.000 0.000 0.000 Sr
0.217 0.217 0.217 Dy
0.783 0.783 0.783 Dy
0.500 0.500 0.500 Pt
```


(two)
DFT (PBE-GGA) results for a relaxed structure of SrDy2Pt.

Computed properties:
* size of the total moment: 0.00 μB/atom
* density of states at the Fermi level: 0.74 states/eV per atom

```
SrDy2Pt
1.0
2.097 1.211 9.333
-2.097 1.211 9.333
0.000 -2.422 9.333
Sr Dy Pt
1 2 1
direct
0.000 0.000 0.000 Sr
0.549 0.549 0.549 Dy
0.781 0.781 0.781 Dy
0.165 0.165 0.165 Pt
```


Name the most stable of them. (two).


(one)
DFT (PBE-GGA) results for a relaxed structure of TbDyPt2.

Computed properties:
* size of the total moment: 0.00 μB/atom
* density of states at the Fermi level: 0.71 states/eV per atom

```
TbDyPt2
1.0
0.000 3.504 3.504
3.504 0.000 3.504
3.504 3.504 0.000
Tb Dy Pt
1 1 2
direct
0.000 0.000 0.000 Tb
0.500 0.500 0.500 Dy
0.250 0.250 0.250 Pt
0.750 0.750 0.750 Pt
```


(two)
DFT (PBE-GGA) results for a relaxed structure of TbDyPt2.

Computed properties:
* size of the total moment: 0.00 μB/atom
* density of states at the Fermi level: 0.53 states/eV per atom

```
TbDyPt2
1.0
2.033 1.174 6.685
-2.033 1.174 6.685
0.000 -2.347 6.685
Tb Dy Pt
1 1 2
direct
0.000 0.000 0.000 Tb
0.500 0.500 0.500 Dy
0.249 0.249 0.249 Pt
0.751 0.751 0.751 Pt
```


(three)
DFT (PBE-GGA) results for a relaxed structure of TbDyPt2.

Computed properties:
* size of the total moment: 0.00 μB/atom
* density of states at the Fermi level: 0.55 states/eV per atom

```
TbDyPt2
1.0
2.016 1.164 6.880
-2.016 1.164 6.880
0.000 -2.328 6.880
Tb Dy Pt
1 1 2
direct
0.000 0.000 0.000 Tb
0.828 0.828 0.828 Dy
0.248 0.248 0.248 Pt
0.413 0.413 0.413 Pt
```


(four)
DFT (PBE-GGA) results for a relaxed structure of TbDyPt2.

Computed properties:
* size of the total moment: 0.00 μB/atom
* density of states at the Fermi level: 0.69 states/eV per atom

```
TbDyPt2
1.0
4.464 0.000 0.000
0.000 1.896 5.294
0.000 -1.896 5.294
Tb Dy Pt
1 1 2
direct
0.000 0.000 0.000 Tb
0.500 0.724 0.724 Dy
0.000 0.274 0.274 Pt
0.500 0.450 0.450 Pt
```


Name the most stable of them. (four).